# 1
This record from the Alexandria database describes a relaxed Nd8Y3Ho crystal. The functional is GGA-PBE.

Cell: 8.667 8.667 8.655 Å, 94.83 136.70 100.81°
Positions (direct):
Nd 0.165 0.915 0.750
Y 0.503 0.249 0.754
Nd 0.834 0.083 0.250
Nd 0.169 0.835 0.334
Nd 0.167 0.334 0.833
Nd 0.165 0.414 0.249
Nd 0.499 0.166 0.332
Nd 0.499 0.667 0.832
Nd 0.834 0.585 0.752
Y 0.503 0.750 0.254
Y 0.831 0.501 0.330
Ho 0.831 0.001 0.830

Its density of states at the Fermi level is 21.54 states/eV per cell. The value obtained for the calculated volume is 413.8 Å³/cell.



# 2
This record from the Alexandria database describes a relaxed Nd6Y2Ho3 crystal. The functional is GGA-PBE.

Cell: 3.624 3.624 32.372 Å, 86.79 86.79 60.00°
Positions (direct):
Nd 0.818 0.818 0.547
Nd 0.090 0.090 0.730
Ho 0.727 0.727 0.820
Ho 0.000 0.000 0.000
Nd 0.910 0.910 0.270
Y 0.546 0.546 0.361
Y 0.454 0.454 0.639
Ho 0.273 0.273 0.180
Nd 0.363 0.363 0.910
Nd 0.182 0.182 0.453
Nd 0.637 0.637 0.090

Its density of states at the Fermi level is 12.78 states/eV per cell. The offset from the most stable computed form is 0 meV per atom. The value obtained for the calculated volume is 367.4 Å³/cell.



no.,formation energy from the elements (meV per atom)
1,25
2,13